AsPPb | PBE | relaxed

abc: 4.8258 4.8258 4.8258
angles: 60.00 60.00 60.00
Last column: nearest neighbours and their distance in Å.
Positions (direct):
Pb 0.7500 0.7500 0.7500  4 P 2.96, 4 As 2.96
As 0.0000 0.0000 0.0000  4 Pb 2.96
P 0.5000 0.5000 0.5000  4 Pb 2.96

Output
- magnetic moment (μB per atom) = 0.000
- SG = F-43m (216)
- formation enthalpy at 0 K (kcal/mol of atoms) = 16.677
- energy relative to the lowest polymorph listed for this composition (meV per atom) = 648


ZnGa6Re | PBE | relaxed

abc: 5.5298 5.5298 5.5244
angles: 100.37 100.37 100.48
Last column: nearest neighbours and their distance in Å.
Positions (direct):
Ga 0.1937 0.1937 0.6242  1 Re 2.45, 1 Ga 2.70
Ga 0.6229 0.1933 0.1936  1 Re 2.45, 1 Ga 2.69
Zn 0.0000 0.0000 0.0000  6 Ga 2.79-2.80
Re 0.5000 0.5000 0.5000  6 Ga 2.45
Ga 0.1933 0.6229 0.1936  1 Re 2.45, 1 Ga 2.69
Ga 0.8063 0.8063 0.3758  1 Re 2.45, 1 Ga 2.70
Ga 0.3771 0.8067 0.8064  1 Re 2.45, 1 Ga 2.69
Ga 0.8067 0.3771 0.8064  1 Re 2.45, 1 Ga 2.69

Output
- magnetic moment (μB per atom) = 0.000
- SG = C2/m (12)
- formation enthalpy at 0 K (kcal/mol of atoms) = 4.630


Si2Se | PBE | relaxed

abc: 3.7113 3.7113 4.5908
angles: 90.00 90.00 120.00
Last column: nearest neighbours and their distance in Å.
Positions (direct):
Se 0.0000 0.0000 0.0000  6 Si 2.75
Si 0.6667 0.3333 0.6247  3 Si 2.43
Si 0.3333 0.6667 0.3753  3 Si 2.43

Output
- magnetic moment (μB per atom) = 0.000
- SG = P-3m1 (164)
- energy relative to the lowest polymorph listed for this composition (meV per atom) = 377


SrFeOs | PBE | relaxed

abc: 7.3342 4.1526 8.1980
angles: 90.00 90.00 90.00
Last column: nearest neighbours and their distance in Å.
Positions (direct):
Sr 0.9982 0.7500 0.1823  6 Fe 3.12-3.39, 6 Os 3.15-3.42
Fe 0.8416 0.2500 0.4296  3 Os 2.27-2.35
Fe 0.1584 0.7500 0.5704  3 Os 2.27-2.35
Sr 0.0018 0.2500 0.8177  6 Fe 3.12-3.39, 6 Os 3.15-3.42
Fe 0.3416 0.2500 0.0704  3 Os 2.27-2.35
Sr 0.4982 0.7500 0.3177  6 Fe 3.12-3.39, 6 Os 3.15-3.42
Sr 0.5018 0.2500 0.6823  6 Fe 3.12-3.39, 6 Os 3.15-3.42
Fe 0.6584 0.7500 0.9296  3 Os 2.27-2.35
Os 0.8484 0.7500 0.5636  3 Fe 2.27-2.35
Os 0.6516 0.2500 0.0636  3 Fe 2.27-2.35
Os 0.1516 0.2500 0.4364  3 Fe 2.27-2.35
Os 0.3484 0.7500 0.9364  3 Fe 2.27-2.35

Output
- magnetic moment (μB per atom) = 0.000
- SG = Pnma (62)
- formation enthalpy at 0 K (kcal/mol of atoms) = 10.729
- energy relative to the lowest polymorph listed for this composition (meV per atom) = 182


MnZnSi2 | PBE | relaxed

abc: 4.1952 4.1952 4.7839
angles: 80.98 80.98 39.76
Last column: nearest neighbours and their distance in Å.
Positions (direct):
Mn 0.2500 0.2500 0.2500  6 Si 2.41-2.45
Si 0.5151 0.5151 0.4542  3 Mn 2.41-2.45, 2 Si 2.46, 1 Zn 2.51
Si 0.9849 0.9849 0.0458  3 Mn 2.41-2.45, 2 Si 2.46, 1 Zn 2.51
Zn 0.7500 0.7500 0.7500  6 Si 2.51-2.73, 4 Mn 2.79

Output
- magnetic moment (μB per atom) = 0.198
- SG = C2/m (12)


Y2ScRu | PBE | relaxed

abc: 3.3492 3.3606 9.3459
angles: 68.99 90.00 90.00
Last column: nearest neighbours and their distance in Å.
Positions (direct):
Y 0.5000 0.1828 0.3172  4 Ru 2.95, 1 Sc 3.18
Ru 0.0000 0.4825 0.5178  4 Sc 2.77, 4 Y 2.95
Y 0.0000 0.0161 0.9835  4 Y 3.35-3.36, 4 Sc 3.54-3.55
Sc 0.5000 0.8187 0.6816  4 Ru 2.77

Output
- magnetic moment (μB per atom) = 0.000
- SG = Pm (6)
- formation enthalpy at 0 K (kcal/mol of atoms) = -5.513
- energy relative to the lowest polymorph listed for this composition (meV per atom) = 86


Number 1: E -3.87 eV per atom. Number 2: E -3.78 eV per atom. Number 3: E -4.57 eV per atom. Number 4: E -6.66 eV per atom. Number 5: E -5.28 eV per atom. Number 6: E -7.37 eV per atom.